# 1
# LiP2H6 (GGA-PBE, optimized geometry)
data_LiP2H6
_cell_length_a 7.468
_cell_length_b 7.922
_cell_length_c 6.518
_cell_angle_alpha 90.00
_cell_angle_beta 92.06
_cell_angle_gamma 90.00
_space_group_name_H-M_alt 'C 1 2/c 1'
_space_group_IT_number 15
loop_
_space_group_symop_operation_xyz
'x,y,z'
'-x,-y,-z'
'-x,y,-z+1/2'
'x,-y,z+1/2'
'x+1/2,y+1/2,z'
'-x+1/2,-y+1/2,-z'
'-x+1/2,y+1/2,-z+1/2'
'x+1/2,-y+1/2,z+1/2'
loop_
_atom_site_label
_atom_site_fract_x
_atom_site_fract_y
_atom_site_fract_z
Li1 0.000 0.127 0.250
P1 0.229 0.104 0.752
H1 0.140 0.348 0.086
H2 0.143 0.357 0.405
H3 0.146 0.267 0.742
# DOS(E_F), states/eV/cell: 3.7
# ρ, Mg/m³: 1.292
# Uncorrected energy, eV per atom: -3.64


# 2
# Li2PH (GGA-PBE, optimized geometry)
data_Li2PH
_cell_length_a 5.745
_cell_length_b 5.745
_cell_length_c 5.745
_cell_angle_alpha 90.00
_cell_angle_beta 90.00
_cell_angle_gamma 90.00
_space_group_name_H-M_alt 'F m -3 m'
_space_group_IT_number 225
_space_group_name_Hall '-F 4 2 3'
loop_
_atom_site_label
_atom_site_fract_x
_atom_site_fract_y
_atom_site_fract_z
Li1 0.250 0.250 0.250
P1 0.000 0.000 0.000
H1 0.000 0.000 0.500
# DOS(E_F), states/eV/cell: 5.8
# ρ, Mg/m³: 1.606
# Offset from the most stable computed form, meV/atom: 403


# 3
# Li2PH (GGA-PBE, optimized geometry)
data_Li2PH
_cell_length_a 5.443
_cell_length_b 5.443
_cell_length_c 6.658
_cell_angle_alpha 90.00
_cell_angle_beta 90.00
_cell_angle_gamma 90.00
_space_group_name_H-M_alt 'I -4 2 d'
_space_group_IT_number 122
_space_group_name_Hall 'I -4 2bw'
loop_
_atom_site_label
_atom_site_fract_x
_atom_site_fract_y
_atom_site_fract_z
Li1 0.127 0.750 0.125
P1 0.000 0.000 0.500
H1 0.000 0.000 0.000
# DOS(E_F), states/eV/cell: 6.4
# ρ, Mg/m³: 1.544
# Offset from the most stable computed form, meV/atom: 264


# 4
# LiP3H (GGA-PBE, optimized geometry)
data_LiP3H
_cell_length_a 3.978
_cell_length_b 3.978
_cell_length_c 3.978
_cell_angle_alpha 90.00
_cell_angle_beta 90.00
_cell_angle_gamma 90.00
_space_group_name_H-M_alt 'P m -3 m'
_space_group_IT_number 221
_space_group_name_Hall '-P 4 2 3'
loop_
_atom_site_label
_atom_site_fract_x
_atom_site_fract_y
_atom_site_fract_z
Li1 0.000 0.000 0.000
P1 0.000 0.500 0.500
H1 0.500 0.500 0.500
# DOS(E_F), states/eV/cell: 1.4
# ρ, Mg/m³: 2.660
# Uncorrected energy, eV per atom: -3.83


# 5
# LiPH (GGA-PBE, optimized geometry)
data_LiPH
_cell_length_a 4.922
_cell_length_b 6.869
_cell_length_c 5.560
_cell_angle_alpha 90.00
_cell_angle_beta 114.88
_cell_angle_gamma 90.00
_space_group_name_H-M_alt 'C 1 2 1'
_space_group_IT_number 5
loop_
_space_group_symop_operation_xyz
'x,y,z'
'-x,y,-z'
'x+1/2,y+1/2,z'
'-x+1/2,y+1/2,-z'
loop_
_atom_site_label
_atom_site_fract_x
_atom_site_fract_y
_atom_site_fract_z
Li1 0.000 0.000 0.000
Li2 0.000 0.131 0.500
P1 0.182 0.338 0.205
H1 0.118 0.698 0.832
# DOS(E_F), states/eV/cell: 0.0
# ρ, Mg/m³: 1.516
# Offset from the most stable computed form, meV/atom: 0


# 6
# LiPH (GGA-PBE, optimized geometry)
data_LiPH
_cell_length_a 3.213
_cell_length_b 4.207
_cell_length_c 7.193
_cell_angle_alpha 86.74
_cell_angle_beta 77.48
_cell_angle_gamma 89.65
_space_group_name_H-M_alt 'P -1'
_space_group_IT_number 2
loop_
_space_group_symop_operation_xyz
'x,y,z'
'-x,-y,-z'
loop_
_atom_site_label
_atom_site_fract_x
_atom_site_fract_y
_atom_site_fract_z
Li1 0.170 0.424 0.164
P1 0.302 0.056 0.892
H1 0.017 0.412 0.510
# DOS(E_F), states/eV/cell: 0.1
# ρ, Mg/m³: 1.364
# Offset from the most stable computed form, meV/atom: 60